1.
A relaxed BaTiC2 crystal. Source: Alexandria, functional PBE-GGA.

**Formation enthalpy at 0 K**: 0.53 eV/atom
**E**: -6.5387 eV per atom

Structure (CIF):
```
data_BaTiC2
_space_group_name_H-M_alt 'I -4 2 d'
_space_group_IT_number 122
_space_group_name_Hall 'I -4 2bw'
_cell_length_a 5.258
_cell_length_b 5.258
_cell_length_c 11.909
_cell_angle_alpha 90.00
_cell_angle_beta 90.00
_cell_angle_gamma 90.00
loop_
_atom_site_label
_atom_site_type_symbol
_atom_site_fract_x
_atom_site_fract_y
_atom_site_fract_z
Ba1 Ba 0.000 0.000 0.000
Ti1 Ti 0.000 0.000 0.500
C1 C 0.074 0.250 0.625
```

2.
A relaxed In4Hg crystal. Source: Alexandria, functional PBE-GGA.

**Formation enthalpy at 0 K**: 0.08 eV/atom
**E**: -2.1684 eV per atom

Structure (CIF):
```
data_In4Hg
_space_group_name_H-M_alt 'I 4/m m m'
_space_group_IT_number 139
_space_group_name_Hall '-I 4 2'
_cell_length_a 4.455
_cell_length_b 4.455
_cell_length_c 14.693
_cell_angle_alpha 90.00
_cell_angle_beta 90.00
_cell_angle_gamma 90.00
loop_
_atom_site_label
_atom_site_type_symbol
_atom_site_fract_x
_atom_site_fract_y
_atom_site_fract_z
In1 In 0.000 0.000 0.100
In2 In 0.000 0.500 0.250
Hg1 Hg 0.000 0.000 0.500
```

3.
A relaxed LaHoTc crystal. Source: Alexandria, functional PBE-GGA.

**Formation enthalpy at 0 K**: 0.03 eV/atom
**E**: -6.5986 eV per atom

Structure (CIF):
```
data_LaHoTc
_space_group_name_H-M_alt 'I 4 m m'
_space_group_IT_number 107
_space_group_name_Hall 'I 4 -2'
_cell_length_a 3.496
_cell_length_b 3.496
_cell_length_c 13.161
_cell_angle_alpha 90.00
_cell_angle_beta 90.00
_cell_angle_gamma 90.00
loop_
_atom_site_label
_atom_site_type_symbol
_atom_site_fract_x
_atom_site_fract_y
_atom_site_fract_z
La1 La 0.000 0.000 0.000
Ho1 Ho 0.000 0.000 0.746
Tc1 Tc 0.000 0.000 0.367
```